No. 1
MnNi4Ge after structural relaxation. Source: Alexandria via LeMat-Bulk, functional GGA-PBE.

## Properties
Its energy of formation is -0.1798 eV per atom. For the density of states at the Fermi level, the calculation gives 11.087 states/eV/cell. As for the energy above the most stable polymorph in this dataset: 0.000 eV per atom. As for the space group: No. 12. As for the total magnetic moment: 7.67 μB per cell. The uncorrected energy comes out at -0.46538 Ry/atom.

CIF file:
```
data_MnNi4Ge
_cell_length_a 8.000
_cell_length_b 3.535
_cell_length_c 5.155
_cell_angle_alpha 90.00
_cell_angle_beta 107.37
_cell_angle_gamma 90.00
_space_group_name_H-M_alt 'P 1'
_space_group_IT_number 1
_space_group_name_Hall 'P 1'
loop_
_atom_site_label
_atom_site_fract_x
_atom_site_fract_y
_atom_site_fract_z
Mn1 0.000 0.000 0.000
Mn2 0.500 0.500 0.000
Ni1 0.165 0.500 0.333
Ni2 0.167 0.500 0.837
Ni3 0.333 0.000 0.163
Ni4 0.335 0.000 0.667
Ni5 0.665 0.000 0.333
Ni6 0.667 0.000 0.837
Ni7 0.833 0.500 0.163
Ni8 0.835 0.500 0.667
Ge1 0.000 0.000 0.500
Ge2 0.500 0.500 0.500
```



No. 2
Ba3NdSm2Te6 after structural relaxation. Source: Alexandria via LeMat-Bulk, functional GGA-PBE.

## Properties
The formation energy from raw total energies is -1.568 eV/atom. For the density of states at the Fermi level, the calculation gives 5.574 states/eV/cell. As for the space group: No. 12. As for the total magnetic moment: 0.00 μB per cell. The uncorrected energy comes out at -0.35307 Ry/atom.

CIF file:
```
data_Ba3NdSm2Te6
_cell_length_a 8.040
_cell_length_b 8.040
_cell_length_c 8.325
_cell_angle_alpha 99.28
_cell_angle_beta 99.28
_cell_angle_gamma 119.91
_space_group_name_H-M_alt 'P 1'
_space_group_IT_number 1
_space_group_name_Hall 'P 1'
loop_
_atom_site_label
_atom_site_fract_x
_atom_site_fract_y
_atom_site_fract_z
Ba1 0.000 0.000 0.000
Ba2 0.334 0.666 0.000
Ba3 0.666 0.334 0.000
Nd1 0.500 0.500 0.500
Sm1 0.167 0.833 0.500
Sm2 0.833 0.167 0.500
Te1 0.090 0.426 0.277
Te2 0.238 0.238 0.722
Te3 0.426 0.090 0.277
Te4 0.574 0.910 0.723
Te5 0.762 0.762 0.278
Te6 0.910 0.574 0.723
```



No. 3
CePd2 after structural relaxation. Source: Alexandria via LeMat-Bulk, functional GGA-PBE.

## Properties
Its energy of formation is -0.6338 eV per atom. For the density of states at the Fermi level, the calculation gives 8.545 states/eV/cell. As for the space group: No. 139. As for the total magnetic moment: 0.57 μB per cell. The uncorrected energy comes out at -0.44640 Ry/atom.

CIF file:
```
data_CePd2
_cell_length_a 3.651
_cell_length_b 3.651
_cell_length_c 9.049
_cell_angle_alpha 90.00
_cell_angle_beta 90.00
_cell_angle_gamma 90.00
_space_group_name_H-M_alt 'P 1'
_space_group_IT_number 1
_space_group_name_Hall 'P 1'
loop_
_atom_site_label
_atom_site_fract_x
_atom_site_fract_y
_atom_site_fract_z
Ce1 0.000 0.000 0.000
Ce2 0.500 0.500 0.500
Pd1 0.000 0.000 0.334
Pd2 0.000 0.000 0.666
Pd3 0.500 0.500 0.166
Pd4 0.500 0.500 0.834
```



No. 4
NaTi2Fe4 after structural relaxation. Source: Alexandria via LeMat-Bulk, functional GGA-PBE.

## Properties
Its energy of formation is 1.2949 eV per atom. For the density of states at the Fermi level, the calculation gives 19.440 states/eV/cell. As for the space group: No. 139. As for the total magnetic moment: 10.48 μB per cell. The uncorrected energy comes out at -0.43989 Ry/atom.

CIF file:
```
data_NaTi2Fe4
_cell_length_a 4.258
_cell_length_b 4.258
_cell_length_c 12.457
_cell_angle_alpha 90.00
_cell_angle_beta 90.00
_cell_angle_gamma 90.00
_space_group_name_H-M_alt 'P 1'
_space_group_IT_number 1
_space_group_name_Hall 'P 1'
loop_
_atom_site_label
_atom_site_fract_x
_atom_site_fract_y
_atom_site_fract_z
Na1 0.000 0.000 0.000
Na2 0.500 0.500 0.500
Ti1 0.000 0.000 0.378
Ti2 0.000 0.000 0.622
Ti3 0.500 0.500 0.122
Ti4 0.500 0.500 0.878
Fe1 0.000 0.000 0.195
Fe2 0.000 0.000 0.805
Fe3 0.000 0.500 0.000
Fe4 0.000 0.500 0.500
Fe5 0.500 0.000 0.000
Fe6 0.500 0.000 0.500
Fe7 0.500 0.500 0.305
Fe8 0.500 0.500 0.695
```



No. 5
Ca2NdSc after structural relaxation. Source: Alexandria via LeMat-Bulk, functional GGA-PBE.

## Properties
Its energy of formation is 0.2637 eV per atom. For the density of states at the Fermi level, the calculation gives 19.315 states/eV/cell. As for the energy above the most stable polymorph in this dataset: 0.058 eV per atom. As for the space group: No. 166. As for the total magnetic moment: 2.67 μB per cell. The uncorrected energy comes out at -0.25812 Ry/atom.

CIF file:
```
data_Ca2NdSc
_cell_length_a 3.537
_cell_length_b 3.537
_cell_length_c 38.531
_cell_angle_alpha 90.00
_cell_angle_beta 90.00
_cell_angle_gamma 120.00
_space_group_name_H-M_alt 'P 1'
_space_group_IT_number 1
_space_group_name_Hall 'P 1'
loop_
_atom_site_label
_atom_site_fract_x
_atom_site_fract_y
_atom_site_fract_z
Ca1 0.000 0.000 0.092
Ca2 0.000 0.000 0.908
Ca3 0.333 0.667 0.575
Ca4 0.333 0.667 0.758
Ca5 0.667 0.333 0.242
Ca6 0.667 0.333 0.425
Nd1 0.000 0.000 0.000
Nd2 0.333 0.667 0.667
Nd3 0.667 0.333 0.333
Sc1 0.000 0.000 0.500
Sc2 0.333 0.667 0.167
Sc3 0.667 0.333 0.833
```



No. 6
Al2TlCl after structural relaxation. Source: Alexandria via LeMat-Bulk, functional GGA-PBE.

## Properties
The formation energy from raw total energies is -0.061 eV/atom. For the density of states at the Fermi level, the calculation gives 2.240 states/eV/cell. As for the energy above the most stable polymorph in this dataset: 0.071 eV per atom. As for the space group: No. 8. As for the total magnetic moment: 0.00 μB per cell. The uncorrected energy comes out at -0.21945 Ry/atom.

CIF file:
```
data_Al2TlCl
_cell_length_a 10.927
_cell_length_b 3.122
_cell_length_c 5.695
_cell_angle_alpha 90.00
_cell_angle_beta 90.52
_cell_angle_gamma 90.00
_space_group_name_H-M_alt 'P 1'
_space_group_IT_number 1
_space_group_name_Hall 'P 1'
loop_
_atom_site_label
_atom_site_fract_x
_atom_site_fract_y
_atom_site_fract_z
Al1 0.000 0.000 0.000
Al2 0.233 0.500 0.975
Al3 0.500 0.500 0.000
Al4 0.733 0.000 0.975
Tl1 0.496 0.000 0.480
Tl2 0.996 0.500 0.480
Cl1 0.242 0.000 0.621
Cl2 0.742 0.500 0.621
```



No. 7
La6Y8Pu after structural relaxation. Source: Alexandria via LeMat-Bulk, functional GGA-PBE.

## Properties
Its energy of formation is 0.1066 eV per atom. For the density of states at the Fermi level, the calculation gives 23.757 states/eV/cell. As for the space group: No. 148. As for the total magnetic moment: 6.76 μB per cell. The uncorrected energy comes out at -0.46064 Ry/atom.

CIF file:
```
data_La6Y8Pu
_cell_length_a 8.821
_cell_length_b 8.821
_cell_length_c 8.821
_cell_angle_alpha 62.36
_cell_angle_beta 62.36
_cell_angle_gamma 62.36
_space_group_name_H-M_alt 'P 1'
_space_group_IT_number 1
_space_group_name_Hall 'P 1'
loop_
_atom_site_label
_atom_site_fract_x
_atom_site_fract_y
_atom_site_fract_z
La1 0.047 0.730 0.594
La2 0.270 0.406 0.953
La3 0.406 0.953 0.270
La4 0.594 0.047 0.730
La5 0.730 0.594 0.047
La6 0.953 0.270 0.406
Y1 0.077 0.077 0.077
Y2 0.200 0.270 0.612
Y3 0.270 0.612 0.200
Y4 0.388 0.800 0.730
Y5 0.612 0.200 0.270
Y6 0.730 0.388 0.800
Y7 0.800 0.730 0.388
Y8 0.923 0.923 0.923
Pu1 0.500 0.500 0.500
```



No. 8
ReMo2Ir after structural relaxation. Source: Alexandria via LeMat-Bulk, functional GGA-PBE.

## Properties
Its energy of formation is 0.0726 eV per atom. For the density of states at the Fermi level, the calculation gives 16.101 states/eV/cell. As for the energy above the most stable polymorph in this dataset: 0.142 eV per atom. As for the space group: No. 166. As for the total magnetic moment: 0.00 μB per cell. The uncorrected energy comes out at -0.78425 Ry/atom.

CIF file:
```
data_ReMo2Ir
_cell_length_a 2.774
_cell_length_b 2.774
_cell_length_c 27.517
_cell_angle_alpha 90.00
_cell_angle_beta 90.00
_cell_angle_gamma 120.00
_space_group_name_H-M_alt 'P 1'
_space_group_IT_number 1
_space_group_name_Hall 'P 1'
loop_
_atom_site_label
_atom_site_fract_x
_atom_site_fract_y
_atom_site_fract_z
Re1 0.000 0.000 0.000
Re2 0.333 0.667 0.667
Re3 0.667 0.333 0.333
Mo1 0.000 0.000 0.249
Mo2 0.000 0.000 0.751
Mo3 0.333 0.667 0.418
Mo4 0.333 0.667 0.915
Mo5 0.667 0.333 0.085
Mo6 0.667 0.333 0.582
Ir1 0.000 0.000 0.500
Ir2 0.333 0.667 0.167
Ir3 0.667 0.333 0.833
```



No. 9
HfTeAs after structural relaxation. Source: Alexandria via LeMat-Bulk, functional GGA-PBE.

## Properties
The formation energy from raw total energies is -0.139 eV/atom. For the density of states at the Fermi level, the calculation gives 1.893 states/eV/cell. As for the space group: No. 156. As for the total magnetic moment: 0.00 μB per cell. The uncorrected energy comes out at -0.44497 Ry/atom.

CIF file:
```
data_HfTeAs
_cell_length_a 4.930
_cell_length_b 4.930
_cell_length_c 3.189
_cell_angle_alpha 90.00
_cell_angle_beta 90.00
_cell_angle_gamma 120.00
_space_group_name_H-M_alt 'P 1'
_space_group_IT_number 1
_space_group_name_Hall 'P 1'
loop_
_atom_site_label
_atom_site_fract_x
_atom_site_fract_y
_atom_site_fract_z
Hf1 0.000 0.000 0.000
Te1 0.333 0.667 0.998
As1 0.667 0.333 0.497
```



total magnetic moment of number 1 (MnNi4Ge)? 7.67 μB per cell



Which value of total magnetic moment does entry 1 give? 7.67 μB per cell



What is the formula in the third record? CePd2